Record 1
## SiIrW2 (GGA-PBE)

Data for a relaxed SiIrW2 crystal.

Unit cell a=2.776 b=4.087 c=5.408 alpha=90.00 beta=104.30 gamma=90.00
Space group Pm (No. 6)
One atom of each set of equivalent atoms:
Si (0.000, 0.000, 0.000) x1
Ir (0.880, 0.500, 0.746) x1
W (0.266, 0.000, 0.508) x1
W (0.602, 0.500, 0.216) x1


Record 2
## SiIrW2 (GGA-PBE)

Data for a relaxed SiIrW2 crystal.

Unit cell a=2.8073 b=2.8073 c=26.3641 alpha=90.00 beta=90.00 gamma=120.00
Space group R-3m (No. 166, hexagonal axes)
One atom of each set of equivalent atoms:
Si (0.0000, 0.0000, 0.0000) x3
Ir (0.0000, 0.0000, 0.5000) x3
W (0.0000, 0.0000, 0.2514) x6


no.,formation energy (no corrections) (meV/atom),electronic total energy (eV per atom),density of states at the Fermi level (states/eV/f.u.)
1,-169,-10.22,3.06
2,19,-10.03,3.95